20
Lattice="-4.1996 -2.1438 3.0383 6.6551 -5.1187 5.5872 4.9854 11.8158 4.8868" Properties=species:S:1:pos:R:3 comment="La6TbTm3, optimized geometry, DFT GGA-PBE" e_above_lowest_polymorph_ev_per_atom=0.000 energy_ev_per_cell=-91.46 delta_e_f_ev_per_fu=1.88 magnetic_moment_mub_per_cell=0.00 space_group="No. 14" pbc="T T T"
La 8.2000 4.9084 9.6340
La 5.8117 0.8380 8.6281
La 3.1633 -0.1734 4.2603
La 4.2776 4.7267 9.2520
La 1.6292 3.7153 4.8841
La -0.7591 -0.3551 3.8782
La 2.6923 -1.3675 7.9415
La 4.5926 -3.3625 3.9719
La 0.8976 6.7075 5.9909
La 6.5433 -2.1542 7.5214
La 2.8483 7.9157 9.5403
La 4.7486 5.9208 5.5708
Tb 3.7205 2.2766 6.7561
Tb 0.0000 0.0000 0.0000
Tm 3.7910 9.0465 6.4603
Tm 1.2277 -3.6313 4.3127
Tm 3.6499 -4.4932 7.0520
Tm 0.5607 1.0189 6.6796
Tm 2.4927 5.9079 2.4434
Tm 6.8802 3.5344 6.8326